The following is a PBE calculation of a relaxed structure of BaCrPt, from the Alexandria database.

Values from the calculation:
E_form	0.177	eV/atom
E above lowest polymorph	339	meV/atom
E_tot	-5.68	eV per atom

extended XYZ file:
```
12
Lattice="8.0045 0.0000 0.0000 0.0000 3.6311 0.0000 0.0000 0.0000 11.1536" Properties=species:S:1:pos:R:3 pbc="T T T"
Ba 1.0911 0.9078 1.7591
Ba 2.9112 2.7233 7.3359
Ba 5.0933 0.9078 3.8177
Ba 6.9134 2.7233 9.3945
Cr 0.2388 2.7233 4.9521
Cr 3.7635 0.9078 10.5289
Cr 4.2410 2.7233 0.6247
Cr 7.7658 0.9078 6.2015
Pt 1.9566 0.9078 4.8182
Pt 2.0457 2.7233 10.3950
Pt 5.9589 0.9078 0.7586
Pt 6.0479 2.7233 6.3354
```